Computed, not measured: a relaxed structure of Cs2CdHg at the PBE-GGA level of DFT.

Properties
- Energy above the lowest structure with this stoichiometry: 0 meV per atom
- Final energy: -0.884 eV/atom
- Formation enthalpy at 0 K: -0.1528 eV per atom
- Crystal system: monoclinic
- DOS(E_F): 0.61 states/eV/atom

Unit cell a=9.312 b=5.377 c=9.752 alpha=90.00 beta=107.72 gamma=90.00
Space group Cm (No. 8)
Asymmetric unit:
1 Cs 0.000 0.000 0.000 [2 per cell]
2 Cs 0.168 0.000 0.528 [2 per cell]
3 Cd 0.417 0.000 0.264 [2 per cell]
4 Hg 0.251 0.500 0.264 [2 per cell]